1.
An optimized crystal structure of PaGeSe4. Source: the Alexandria database, functional PBE-GGA.

Geometry as POSCAR:
```
PaGeSe4
1.0
-3.042 -2.856 5.557
5.967 0.506 3.526
-2.003 6.821 2.409
Ge Se Pa
2 8 2
Direct
0.000 0.500 0.250
0.500 0.000 0.750
0.244 0.778 0.213
0.778 0.756 0.787
0.222 0.244 0.787
0.756 0.222 0.213
0.778 0.244 0.713
0.756 0.778 0.287
0.222 0.756 0.713
0.244 0.222 0.287
0.000 0.000 0.500
0.000 0.000 0.000
```

Crystal system: tetragonal
Total energy: -0.1959 hartree per atom

***

2.
An optimized crystal structure of Pa3GeSe2. Source: the Alexandria database, functional PBE-GGA.

Geometry as POSCAR:
```
Pa3GeSe2
1.0
-1.845 -3.777 -0.056
0.368 -0.094 -5.766
6.098 -0.688 3.297
Pa Ge Se
3 1 2
Direct
0.500 0.000 0.500
0.832 0.332 0.165
0.168 0.668 0.835
0.500 0.500 0.500
0.834 0.834 0.169
0.166 0.166 0.831
```

Crystal system: orthorhombic
Total energy: -0.2820 hartree per atom

***

Going through the records in order, we get energy relative to the elements, uncorrected values of -0.654, -0.995 eV per atom.